VASP calculation (GGA-PBE) on a geometry-optimized La2CdP structure.

The density of states at the Fermi level comes out at 10.562 states/eV/cell. The value obtained for the energy of formation is -0.86 eV per atom. The calculation puts the energy relative to the lowest polymorph listed for this composition at 0.04 eV/f.u. Its total magnetization is 0.0000 μB per atom.

The structure belongs to space group R3m (No. 160, hexagonal axes); the cell edges are 4.1601, 4.1601 and 24.7149 Å and the angles 90.00°, 90.00° and 120.00°. The distinct sites, in fractional coordinates, are La at (0.0000, 0.0000, 0.0000), La at (0.0000, 0.0000, 0.1983), Cd at (0.0000, 0.0000, 0.7657) and P at (0.0000, 0.0000, 0.5991).

VASP calculation (GGA-PBE) on a geometry-optimized LaCd2P structure.

The density of states at the Fermi level comes out at 1.081 states/eV/cell. The value obtained for the energy of formation is -0.43 eV per atom. Its total magnetization is 0.0000 μB per atom.

The structure belongs to space group P4mm (No. 99); the cell edges are 4.0582, 4.0582 and 6.7462 Å and the angles 90.00°, 90.00° and 90.00°. The distinct sites, in fractional coordinates, are La at (0.0000, 0.0000, 0.0000), Cd at (0.0000, 0.0000, 0.5048), Cd at (0.5000, 0.5000, 0.6602) and P at (0.5000, 0.5000, 0.0839).

VASP calculation (GGA-PBE) on a geometry-optimized La2CdP4Pd3 structure.

The density of states at the Fermi level comes out at 4.453 states/eV/cell. The value obtained for the energy of formation is -0.86 eV per atom. Its total magnetization is 0.0000 μB per atom.

The structure belongs to space group P-4m2 (No. 115); the cell edges are 4.3613, 4.3613 and 10.0385 Å and the angles 90.00°, 90.00° and 90.00°. The distinct sites, in fractional coordinates, are La at (0.0000, 0.5000, 0.2330), Cd at (0.0000, 0.0000, 0.5000), P at (0.0000, 0.0000, 0.0000), P at (0.0000, 0.5000, 0.6500), P at (0.5000, 0.5000, 0.0000), Pd at (0.0000, 0.5000, 0.8925) and Pd at (0.5000, 0.5000, 0.5000).

VASP calculation (GGA-PBE) on a geometry-optimized La2CdP3Pd4 structure.

The density of states at the Fermi level comes out at 6.921 states/eV/cell. The value obtained for the energy of formation is -0.87 eV per atom. Its total magnetization is 0.0000 μB per atom.

The structure belongs to space group P-4m2 (No. 115); the cell edges are 4.2079, 4.2079 and 10.7870 Å and the angles 90.00°, 90.00° and 90.00°. The distinct sites, in fractional coordinates, are La at (0.0000, 0.5000, 0.2313), Cd at (0.0000, 0.0000, 0.5000), P at (0.0000, 0.5000, 0.8717), P at (0.5000, 0.5000, 0.5000), Pd at (0.0000, 0.0000, 0.0000), Pd at (0.0000, 0.5000, 0.6535) and Pd at (0.5000, 0.5000, 0.0000).

VASP calculation (GGA-PBE) on a geometry-optimized La2CdP3Pt12 structure.

The density of states at the Fermi level comes out at 19.368 states/eV/cell. The value obtained for the energy of formation is -0.43 eV per atom. Its total magnetization is 0.0000 μB per atom.

The structure belongs to space group R-3m (No. 166, hexagonal axes); the cell edges are 8.3221, 8.3221 and 18.0715 Å and the angles 90.00°, 90.00° and 120.00°. The distinct sites, in fractional coordinates, are La at (0.0000, 0.0000, 0.1087), Cd at (0.0000, 0.0000, 0.5000), P at (0.0000, 0.5000, 0.0000), Pt at (0.0146, 0.5073, 0.8733) and Pt at (0.0396, 0.5198, 0.3597).

VASP calculation (GGA-PBE) on a geometry-optimized La2CdReP structure.

The density of states at the Fermi level comes out at 11.584 states/eV/cell. The value obtained for the energy of formation is 0.51 eV per atom. Its total magnetization is 0.0006 μB per atom.

The structure belongs to space group P4/mmm (No. 123); the cell edges are 5.5436, 5.5436 and 4.6685 Å and the angles 90.00°, 90.00° and 90.00°. The distinct sites, in fractional coordinates, are La at (0.0000, 0.5000, 0.0000), Cd at (0.0000, 0.0000, 0.5000), Re at (0.5000, 0.5000, 0.5000) and P at (0.0000, 0.0000, 0.0000).

VASP calculation (GGA-PBE) on a geometry-optimized La2CdP3Rh12 structure.

The density of states at the Fermi level comes out at 54.865 states/eV/cell. The value obtained for the energy of formation is -0.24 eV per atom. Its total magnetization is 0.0000 μB per atom.

The structure belongs to space group R-3m (No. 166, hexagonal axes); the cell edges are 8.8239, 8.8239 and 13.4980 Å and the angles 90.00°, 90.00° and 120.00°. The distinct sites, in fractional coordinates, are La at (0.0000, 0.0000, 0.1161), Cd at (0.0000, 0.0000, 0.5000), P at (0.0000, 0.5000, 0.0000), Rh at (0.0142, 0.5071, 0.8338) and Rh at (0.0421, 0.5210, 0.3706).

VASP calculation (GGA-PBE) on a geometry-optimized LaCdP2Rh5 structure.

The density of states at the Fermi level comes out at 4.037 states/eV/cell. The value obtained for the energy of formation is -0.58 eV per atom. Its total magnetization is 0.0000 μB per atom.

The structure belongs to space group P4/mmm (No. 123); the cell edges are 4.0546, 4.0546 and 10.3634 Å and the angles 90.00°, 90.00° and 90.00°. The distinct sites, in fractional coordinates, are La at (0.0000, 0.0000, 0.0000), Cd at (0.0000, 0.0000, 0.5000), P at (0.5000, 0.5000, 0.2202), Rh at (0.0000, 0.5000, 0.3169) and Rh at (0.5000, 0.5000, 0.0000).

VASP calculation (GGA-PBE) on a geometry-optimized LaCdP2S structure.

The energy relative to the elements, uncorrected comes out at 0.45 eV/atom. The density of states at the Fermi level comes out at 5.240 states/eV/cell. The calculation puts the energy relative to the lowest polymorph listed for this composition at 2.58 eV/f.u. Its total magnetization is 0.2080 μB per atom.

The structure belongs to space group P4/mmm (No. 123); the cell edges are 5.5716, 5.5716 and 5.4043 Å and the angles 90.00°, 90.00° and 90.00°. The distinct sites, in fractional coordinates, are La at (0.0000, 0.0000, 0.0000), Cd at (0.5000, 0.5000, 0.5000), P at (0.0000, 0.5000, 0.0000) and S at (0.0000, 0.0000, 0.5000).

VASP calculation (GGA-PBE) on a geometry-optimized LaCdPS2 structure.

The energy relative to the elements, uncorrected comes out at -0.35 eV/atom. The density of states at the Fermi level comes out at 4.545 states/eV/cell. The calculation puts the energy relative to the lowest polymorph listed for this composition at 0.00 eV/f.u. Its total magnetization is 0.0000 μB per atom.

The structure belongs to space group P4/mmm (No. 123); the cell edges are 4.9653, 4.9653 and 4.9083 Å and the angles 90.00°, 90.00° and 90.00°. The distinct sites, in fractional coordinates, are La at (0.0000, 0.0000, 0.0000), Cd at (0.5000, 0.5000, 0.5000), P at (0.5000, 0.5000, 0.0000) and S at (0.0000, 0.5000, 0.5000).

VASP calculation (GGA-PBE) on a geometry-optimized LaCdP2S structure.

The energy relative to the elements, uncorrected comes out at -0.06 eV/atom. The density of states at the Fermi level comes out at 4.443 states/eV/cell. The calculation puts the energy relative to the lowest polymorph listed for this composition at 0.00 eV/f.u. Its total magnetization is 0.0000 μB per atom.

The structure belongs to space group P4/mmm (No. 123); the cell edges are 4.8979, 4.8979 and 5.0385 Å and the angles 90.00°, 90.00° and 90.00°. The distinct sites, in fractional coordinates, are La at (0.0000, 0.0000, 0.0000), Cd at (0.5000, 0.5000, 0.5000), P at (0.0000, 0.5000, 0.5000) and S at (0.5000, 0.5000, 0.0000).

VASP calculation (GGA-PBE) on a geometry-optimized LaCdPS2 structure.

The energy relative to the elements, uncorrected comes out at 0.07 eV/atom. The density of states at the Fermi level comes out at 6.596 states/eV/cell. The calculation puts the energy relative to the lowest polymorph listed for this composition at 2.12 eV/f.u. Its total magnetization is 0.3963 μB per atom.

The structure belongs to space group P4/mmm (No. 123); the cell edges are 5.4668, 5.4668 and 5.8881 Å and the angles 90.00°, 90.00° and 90.00°. The distinct sites, in fractional coordinates, are La at (0.0000, 0.0000, 0.0000), Cd at (0.5000, 0.5000, 0.5000), P at (0.0000, 0.0000, 0.5000) and S at (0.0000, 0.5000, 0.0000).

Question: Look up the total magnetization of the first one.
Answer: 0.0000 μB per atom